[1]
## Dy2Cu4Se5 (GGA-PBE)

Data for a geometry-optimized Dy2Cu4Se5 structure.

```
Dy2Cu4Se5
1.0
-2.3822 -2.6810 1.8012
1.0575 -3.8700 0.1095
7.5173 0.3977 15.0054
Dy Cu Se
2 4 5
Cartesian
4.3590 -0.6266 9.3036
1.8335 -5.5266 7.6125
6.1709 -4.1198 15.4430
1.0537 -3.7391 4.7704
5.1389 -2.4141 12.1457
0.0216 -2.0334 1.4731
4.3000 -4.7266 12.0654
-0.0968 -4.1123 2.6935
3.0963 -3.0766 8.4581
6.2893 -2.0410 14.2227
1.8925 -1.4266 4.8508
```

Computed properties:
DFT total energy	-51.565	eV for the cell shown
uncorrected formation energy	-0.778	eV/atom
symmetry	R-3m (166)
DOS(E_F)	5.4	states/eV/f.u.


[2]
## Ti2Al2Co (GGA-PBE)

Data for a geometry-optimized Ti2Al2Co structure.

```
Ti2Al2Co
1.0
-2.5150 -3.1201 0.1340
1.1669 -0.7793 3.7562
-6.4723 7.8582 1.5009
Ti Al Co
4 4 2
Cartesian
-5.1795 1.7754 4.1177
-2.1898 -0.7892 0.5166
-7.4715 3.5777 3.0634
-2.6409 2.1834 1.2734
-5.4447 4.5944 4.7849
-3.1291 0.0801 3.1289
-4.6913 3.8787 2.2622
-0.5347 0.5348 2.4173
-0.6740 -1.9497 1.9451
-2.9897 2.5646 3.6011
```

Computed properties:
DFT total energy	-64.029	eV for the cell shown
symmetry	I4_1/amd (141)
calculated formation energy	-0.327	eV per atom
DOS(E_F)	5.2	states/eV/f.u.


[3]
## YMn10Be2 (GGA-PBE)

Data for a geometry-optimized YMn10Be2 structure.

```
YMn10Be2
1.0
-1.1704 0.4873 -6.1028
-1.6703 -5.9695 0.6538
-7.4397 2.2577 1.6071
Y Mn Be
2 20 4
Cartesian
-6.8128 1.3712 -4.0505
-3.4675 -4.5957 0.2086
-6.2369 1.1257 -1.0396
-4.0435 -4.3502 -2.8023
-7.6358 -1.5739 -3.7228
-2.6446 -1.6506 -0.1191
-7.4371 -2.5448 -1.4392
-2.8433 -0.6797 -2.4027
-6.6821 -1.0877 0.0091
-3.5983 -2.1368 -3.8510
-4.2381 0.2928 -4.3079
-8.2875 -2.8360 0.9510
-1.9928 -0.3885 -4.7929
-6.0423 -3.5173 0.4660
-8.2951 0.0446 -1.9432
-4.6810 -2.4510 -1.3164
-5.5993 -0.7735 -2.5255
-1.9853 -3.2691 -1.8987
-2.2010 -4.2476 -4.2218
-4.3596 -0.1058 -0.4236
-0.6397 -1.2346 -1.2271
-5.9208 -3.1187 -3.4183
-0.5852 0.2436 -3.0514
-4.3050 1.3725 -2.2479
-4.5550 -1.8559 1.1305
-0.8351 -2.9847 0.3269
```

Computed properties:
DFT total energy	-211.654	eV for the cell shown
symmetry	Cmcm (63)
calculated formation energy	-0.017	eV per atom
DOS(E_F)	12.2	states/eV/f.u.


[4]
## CdSiH3 (GGA-PBE)

Data for a geometry-optimized CdSiH3 structure.

```
CdSiH3
1.0
3.7413 0.0000 0.0000
0.0000 3.7413 0.0000
0.0000 0.0000 3.7413
H Si Cd
3 1 1
Cartesian
0.0000 1.8706 0.0000
0.0000 0.0000 1.8706
1.8706 0.0000 0.0000
0.0000 0.0000 0.0000
1.8706 1.8706 1.8706
```

Computed properties:
DFT total energy	-13.921	eV for the cell shown
symmetry	Pm-3m (221)
DOS(E_F)	0.9	states/eV/f.u.


[5]
## Na3Zn2Cd3 (GGA-PBE)

Data for a geometry-optimized Na3Zn2Cd3 structure.

```
Na3Zn2Cd3
1.0
4.5380 0.0217 0.0092
0.0210 5.6684 -0.2403
2.2862 1.2102 7.6927
Na Zn Cd
3 2 3
Cartesian
4.5604 2.7285 2.2983
2.2848 4.1718 5.1633
0.0000 0.0000 0.0000
4.5630 5.6573 3.3427
2.2822 1.2430 4.1189
2.2957 4.9813 1.8558
2.2795 2.8451 -0.1156
4.5495 1.9190 5.6059
```

Computed properties:
DFT total energy	-9.429	eV for the cell shown
symmetry	P-1 (2)
calculated formation energy	-0.022	eV per atom
DOS(E_F)	2.8	states/eV/f.u.


[6]
## TlGeRh2 (GGA-PBE)

Data for a geometry-optimized TlGeRh2 structure.

```
TlGeRh2
1.0
-2.6547 1.2496 0.7685
0.5461 -0.6329 2.9156
3.2207 6.3637 0.7781
Tl Rh Ge
1 2 1
Cartesian
0.5561 3.4902 2.2311
2.5607 5.0596 0.6187
0.6600 1.3041 0.1595
-1.0543 0.3084 1.8421
```

Computed properties:
DFT total energy	-22.527	eV for the cell shown
symmetry	P4/mmm (123)
calculated formation energy	-0.210	eV per atom
DOS(E_F)	1.4	states/eV/f.u.


[7]
## Pr3Ga8Co3 (GGA-PBE)

Data for a geometry-optimized Pr3Ga8Co3 structure.

```
Pr3Ga8Co3
1.0
4.2607 0.0000 1.1238
1.3036 7.2617 3.6963
0.0631 0.2144 8.3994
Pr Ga Co
3 8 3
Cartesian
2.2216 5.4749 8.8544
3.4057 2.0012 4.3651
0.0000 0.0000 0.0000
0.7878 1.3375 5.6517
4.8395 6.1386 7.5678
4.2635 3.3494 9.7516
1.3638 4.1266 3.4680
3.0725 4.8484 5.6284
2.5548 2.6277 7.5911
1.5749 0.3204 2.6676
4.0524 7.1557 10.5519
0.6833 3.7380 6.0479
3.7847 4.9666 11.5670
1.8427 2.5095 1.6526
```

Computed properties:
DFT total energy	-66.193	eV for the cell shown
symmetry	C2/m (12)
calculated formation energy	-0.452	eV per atom
DOS(E_F)	8.6	states/eV/f.u.


[8]
## NaCaZn (GGA-PBE)

Data for a geometry-optimized NaCaZn structure.

```
NaCaZn
1.0
-1.4816 -2.0222 -3.6495
-0.4458 -5.0292 2.9678
-5.8113 3.7099 2.9893
Zn Na Ca
2 2 2
Cartesian
-4.2233 -0.1974 -0.8618
-3.5154 -3.1442 3.1694
-2.0865 -4.5580 0.6870
-5.6522 1.2164 1.6206
-5.6223 -2.4484 0.9534
-2.1164 -0.8932 1.3542
```

Computed properties:
DFT total energy	-9.531	eV for the cell shown
symmetry	C2/m (12)
calculated formation energy	-0.057	eV per atom
DOS(E_F)	2.1	states/eV/f.u.